[1]
The following is a PBE calculation of a relaxed BaInSn2Cl8 crystal, from the Alexandria database.

Values from the calculation:
SG ... No. 2
Calculated volume ... 34.264 Å³ per atom
E_form (uncorrected) ... -1530.0 kJ/mol of formula units

a b c (Å): 6.841 6.738 8.922
angles (deg): 90.01 90.39 88.74
Element x y z (fractional)
Cl: 0.299 0.281 0.031
Cl: 0.828 0.229 0.773
Cl: 0.329 0.301 0.470
Cl: 0.701 0.719 0.969
Cl: 0.208 0.805 0.775
Ba: 0.000 0.000 0.500
Cl: 0.172 0.771 0.227
Sn: 0.514 0.513 0.762
In: 0.000 0.000 0.000
Cl: 0.671 0.699 0.530
Sn: 0.486 0.487 0.238
Cl: 0.792 0.195 0.225


[2]
The following is a PBE calculation of a relaxed Ti5Ga4C crystal, from the Alexandria database.

Values from the calculation:
Energy of formation ... -4.2 eV per formula unit
SG ... No. 139
Calculated volume ... 15.318 Å³ per atom

a b c (Å): 4.162 6.414 6.414
angles (deg): 83.96 71.07 71.07
Element x y z (fractional)
Ga: 0.822 0.679 0.678
Ga: 0.501 0.678 0.321
Ti: 0.176 0.000 0.651
Ti: 0.176 0.651 0.000
Ga: 0.501 0.322 0.679
Ga: 0.179 0.321 0.322
Ti: 0.826 0.000 0.349
Ti: 0.501 0.000 0.000
Ti: 0.826 0.349 0.000
C: 0.001 0.000 0.000


[3]
The following is a PBE calculation of a relaxed RbMnTc2Bi crystal, from the Alexandria database.

Values from the calculation:
Energy of formation ... 12.9 eV per formula unit
SG ... No. 123
Calculated volume ... 33.078 Å³ per atom

a b c (Å): 5.148 6.242 5.148
angles (deg): 90.00 90.00 90.00
Element x y z (fractional)
Mn: 0.500 0.500 0.500
Bi: 0.000 0.000 0.000
Rb: 0.000 0.500 0.000
Tc: 0.000 0.000 0.500
Tc: 0.500 0.000 0.000


[4]
The following is a PBE calculation of a relaxed MnBeSb2 crystal, from the Alexandria database.

Values from the calculation:
SG ... No. 99
Calculated volume ... 19.062 Å³ per atom
E_form (uncorrected) ... 80.8 kJ/mol of formula units

a b c (Å): 3.085 3.085 8.010
angles (deg): 90.00 90.00 90.00
Element x y z (fractional)
Sb: 0.500 0.500 0.345
Be: 0.000 0.000 0.577
Sb: 0.000 0.000 0.896
Mn: 0.500 0.500 0.682


[5]
The following is a PBE calculation of a relaxed PrY8Ho4 crystal, from the Alexandria database.

Values from the calculation:
Energy of formation ... 2.6 eV per formula unit
SG ... No. 166
Calculated volume ... 32.409 Å³ per atom

a b c (Å): 7.318 7.318 10.020
angles (deg): 90.00 111.42 120.00
Element x y z (fractional)
Y: 0.053 0.803 0.303
Ho: 0.000 0.000 0.000
Y: 0.947 0.750 0.697
Y: 0.564 0.782 0.346
Y: 0.500 0.750 0.697
Ho: 0.500 0.500 0.000
Ho: 0.500 0.000 0.000
Pr: 0.000 0.500 0.500
Y: 0.436 0.218 0.654
Y: 0.500 0.250 0.303
Y: 0.947 0.197 0.697
Y: 0.053 0.250 0.303
Ho: 0.000 0.500 0.000


[6]
The following is a PBE calculation of a relaxed Pm4Pr2Mg crystal, from the Alexandria database.

Values from the calculation:
Energy of formation ... 0.5 eV per formula unit
ΔE to the lowest computed polymorph ... 0.00 kcal/mol of atoms
SG ... No. 11
Calculated volume ... 33.543 Å³ per atom

a b c (Å): 6.111 6.730 11.831
angles (deg): 90.00 105.18 90.00
Element x y z (fractional)
Pr: 0.281 0.250 0.428
Mg: 0.146 0.750 0.167
Pm: 0.852 0.250 0.559
Pm: 0.358 0.999 0.716
Pr: 0.591 0.750 0.008
Mg: 0.854 0.250 0.833
Pm: 0.642 0.499 0.284
Pm: 0.642 0.001 0.284
Pr: 0.409 0.250 0.992
Pm: 0.990 0.250 0.123
Pm: 0.148 0.750 0.441
Pm: 0.010 0.750 0.877
Pr: 0.719 0.750 0.572
Pm: 0.358 0.501 0.716


[7]
The following is a PBE calculation of a relaxed TaFeSb2 crystal, from the Alexandria database.

Values from the calculation:
ΔE to the lowest computed polymorph ... 8.16 kcal/mol of atoms
SG ... No. 10
Calculated volume ... 19.305 Å³ per atom
E_form (uncorrected) ... 148.4 kJ/mol of formula units

a b c (Å): 3.267 5.560 5.627
angles (deg): 49.07 90.00 90.00
Element x y z (fractional)
Fe: 0.000 0.000 0.500
Ta: 0.500 0.500 0.500
Sb: 0.500 0.500 0.000
Sb: 0.000 0.000 0.000


[8]
The following is a PBE calculation of a relaxed Th2AlGe2Ru5 crystal, from the Alexandria database.

Values from the calculation:
Energy of formation ... -4.8 eV per formula unit
SG ... No. 127
Calculated volume ... 17.644 Å³ per atom

a b c (Å): 3.417 10.162 10.162
angles (deg): 90.00 90.00 90.00
Element x y z (fractional)
Ru: 0.500 0.936 0.207
Al: 0.000 0.000 0.000
Al: 0.000 0.500 0.500
Ge: 0.000 0.625 0.875
Th: 0.000 0.326 0.826
Th: 0.000 0.826 0.674
Ru: 0.500 0.564 0.707
Ge: 0.000 0.125 0.625
Ru: 0.500 0.293 0.564
Ge: 0.000 0.875 0.375
Ge: 0.000 0.375 0.125
Ru: 0.500 0.707 0.436
Ru: 0.500 0.000 0.500
Ru: 0.500 0.207 0.064
Ru: 0.500 0.064 0.793
Ru: 0.500 0.500 0.000
Ru: 0.500 0.793 0.936
Ru: 0.500 0.436 0.293
Th: 0.000 0.174 0.326
Th: 0.000 0.674 0.174